(1)
Compound: MgTl2Cr
Source: Alexandria
Functional: GGA-PBE
Structure: relaxed

M_tot	8.3	Bohr magnetons per cell
energy	-28.0	eV/cell
calculated volume	25.66	Å³ per atom
calculated formation energy	0.49	eV/atom

Cell: 4.522 4.522 10.536 Å, 77.61 77.61 90.00°
Each line ends with the local moment (μB).
Element x y z (fractional)
Mg 0.500 0.500 0.000  -0.02
Tl 0.117 0.625 0.250  -0.03
Cr 0.000 0.000 0.000  3.84
Tl 0.633 0.125 0.250  -0.03
Mg 0.250 0.750 0.500  -0.02
Tl 0.375 0.367 0.750  -0.04
Cr 0.750 0.250 0.500  3.84
Tl 0.875 0.883 0.750  -0.03

(2)
Compound: Sr4Pt2Au
Source: Alexandria
Functional: GGA-PBE
Structure: relaxed

M_tot	0.0	Bohr magnetons per cell
energy	-27.1	eV/cell
calculated volume	29.75	Å³ per atom
calculated formation energy	-0.71	eV/atom

Cell: 5.271 5.271 9.174 Å, 73.31 73.31 60.00°
Element x y z (fractional)
Sr 0.126 0.126 0.623
Au 0.000 0.000 0.000
Pt 0.751 0.751 0.747
Sr 0.874 0.874 0.377
Sr 0.624 0.624 0.128
Pt 0.249 0.249 0.253
Sr 0.376 0.376 0.872

(3)
Compound: LiI3Cl
Source: Alexandria
Functional: GGA-PBE
Structure: relaxed

M_tot	0.0	Bohr magnetons per cell
relative energy among the computed polymorphs	3	meV/atom
energy	-8.6	eV/cell
calculated volume	31.80	Å³ per atom
E_form (uncorrected)	-0.03	eV/atom

Cell: 5.418 5.418 5.418 Å, 90.00 90.00 90.00°
Element x y z (fractional)
Li 0.000 0.000 0.000
Cl 0.500 0.500 0.500
I 0.500 0.000 0.000
I 0.000 0.500 0.000
I 0.000 0.000 0.500